# 1
Computed, not measured: a geometry-optimized BiSb2TeI structure at the PBE level of DFT.

Energy above the most stable polymorph in this dataset = 57 meV per atom
Mass density = 5.639 Mg/m³
Total moment = 0.71 Bohr magnetons per cell
Uncorrected formation energy = 760 meV/atom
VASP energy = -13.0 eV/cell

a b c (Å): 5.963 5.963 5.854
angles (deg): 90.00 90.00 90.00
Space group P4/mmm (No. 123)
Inequivalent atoms, fractional coordinates:
1 Bi 0.000 0.000 0.000
2 Sb 0.000 0.500 0.000
3 Te 0.500 0.500 0.500
4 I 0.000 0.000 0.500

=====

# 2
Computed, not measured: a geometry-optimized Dy3Sc2Ag2 structure at the PBE level of DFT.

Energy above the most stable polymorph in this dataset = 0 meV per atom
Mass density = 7.482 Mg/m³
Total moment = 0.00 Bohr magnetons per cell
DFT formation energy = -0.096 eV/atom
VASP energy = -65.7 eV/cell

a b c (Å): 11.871 3.620 8.312
angles (deg): 90.00 99.73 90.00
Space group C2/m (No. 12)
Inequivalent atoms, fractional coordinates:
1 Dy 0.000 0.000 0.000
2 Dy 0.134 0.000 0.400
3 Sc 0.108 0.500 0.729
4 Ag 0.209 0.500 0.122

=====

# 3
Computed, not measured: a geometry-optimized Li4AcPb8 structure at the PBE level of DFT.

Mass density = 8.998 Mg/m³
Total moment = 0.00 Bohr magnetons per cell
DFT formation energy = -0.236 eV/atom
VASP energy = -89.0 eV/cell

a b c (Å): 10.591 10.591 6.293
angles (deg): 90.00 90.00 90.00
Space group I4/mmm (No. 139)
Inequivalent atoms, fractional coordinates:
1 Li 0.250 0.250 0.250
2 Ac 0.000 0.000 0.000
3 Pb 0.000 0.219 0.500
4 Pb 0.000 0.341 0.000

=====

# 4
Computed, not measured: a geometry-optimized Sr2CePaBi4 structure at the PBE level of DFT.

Mass density = 7.844 Mg/m³
Total moment = 1.08 Bohr magnetons per cell
DFT formation energy = -0.674 eV/atom
VASP energy = -39.7 eV/cell

a b c (Å): 8.104 4.679 8.173
angles (deg): 90.00 109.21 90.00
Space group P2/m (No. 10)
Inequivalent atoms, fractional coordinates:
1 Sr 0.000 0.000 0.000
2 Sr 0.500 0.500 0.000
3 Ce 0.000 0.500 0.500
4 Pa 0.500 0.000 0.500
5 Bi 0.251 0.000 0.726
6 Bi 0.266 0.500 0.277

=====

# 5
Computed, not measured: a geometry-optimized YEr5Zn4 structure at the PBE level of DFT.

Mass density = 8.177 Mg/m³
Total moment = 0.00 Bohr magnetons per cell
DFT formation energy = -0.275 eV/atom
VASP energy = -37.1 eV/cell

a b c (Å): 3.539 3.539 19.240
angles (deg): 90.00 90.00 90.00
Space group P4/mmm (No. 123)
Inequivalent atoms, fractional coordinates:
1 Y 0.000 0.000 0.000
2 Er 0.500 0.500 0.134
3 Er 0.500 0.500 0.317
4 Er 0.500 0.500 0.500
5 Zn 0.000 0.000 0.225
6 Zn 0.000 0.000 0.407

=====

# 6
Computed, not measured: a geometry-optimized La2ScCuTe5 structure at the PBE level of DFT.

Mass density = 6.419 Mg/m³
Total moment = 0.00 Bohr magnetons per cell
Uncorrected formation energy = -1263 meV/atom
VASP energy = -189.4 eV/cell

a b c (Å): 4.327 18.993 12.896
angles (deg): 90.00 90.00 90.00
Space group Cmc2_1 (No. 36)
Inequivalent atoms, fractional coordinates:
1 La 0.000 0.111 0.000
2 La 0.000 0.125 0.619
3 Sc 0.000 0.189 0.322
4 Cu 0.000 0.425 0.766
5 Te 0.000 0.045 0.370
6 Te 0.000 0.288 0.975
7 Te 0.000 0.306 0.662
8 Te 0.000 0.349 0.312
9 Te 0.000 0.500 0.095

=====

# 7
Computed, not measured: a geometry-optimized Tb8In2Rh structure at the PBE level of DFT.

Mass density = 8.622 Mg/m³
Total moment = 0.00 Bohr magnetons per cell
DFT formation energy = -0.324 eV/atom
VASP energy = -106.9 eV/cell

a b c (Å): 17.413 5.484 7.003
angles (deg): 90.00 112.49 90.00
Space group C2/m (No. 12)
Inequivalent atoms, fractional coordinates:
1 Tb 0.008 0.000 0.265
2 Tb 0.107 0.500 0.906
3 Tb 0.140 0.500 0.408
4 Tb 0.195 0.000 0.740
5 In 0.183 0.000 0.191
6 Rh 0.000 0.500 0.500

=====

# 8
Computed, not measured: a geometry-optimized K2PtW structure at the PBE level of DFT.

Energy above the most stable polymorph in this dataset = 467 meV per atom
Mass density = 8.960 Mg/m³
Total moment = 0.00 Bohr magnetons per cell
DFT formation energy = 0.992 eV/atom
VASP energy = -34.4 eV/cell

a b c (Å): 5.647 11.844 2.832
angles (deg): 90.00 116.53 90.00
Space group C2/m (No. 12)
Inequivalent atoms, fractional coordinates:
1 K 0.250 0.250 0.000
2 Pt 0.000 0.000 0.500
3 W 0.000 0.500 0.500

=====

# 9
Computed, not measured: a geometry-optimized Sn2Bi3Au4 structure at the PBE level of DFT.

Energy above the most stable polymorph in this dataset = 4 meV per atom
Mass density = 11.879 Mg/m³
Total moment = 0.00 Bohr magnetons per cell
DFT formation energy = -0.054 eV/atom
VASP energy = -66.5 eV/cell

a b c (Å): 12.690 4.165 9.002
angles (deg): 90.00 103.88 90.00
Space group C2/m (No. 12)
Inequivalent atoms, fractional coordinates:
1 Sn 0.171 0.000 0.299
2 Bi 0.000 0.500 0.500
3 Bi 0.141 0.000 0.918
4 Au 0.026 0.500 0.165
5 Au 0.171 0.000 0.610

=====

# 10
Computed, not measured: a geometry-optimized Ho2TmCdO structure at the PBE level of DFT.

Mass density = 9.755 Mg/m³
Total moment = 0.00 Bohr magnetons per cell
Uncorrected formation energy = -1321 meV/atom
VASP energy = -26.1 eV/cell

a b c (Å): 4.762 4.762 4.709
angles (deg): 90.00 90.00 90.00
Space group P4/mmm (No. 123)
Inequivalent atoms, fractional coordinates:
1 Ho 0.000 0.500 0.000
2 Tm 0.000 0.000 0.500
3 Cd 0.500 0.500 0.500
4 O 0.000 0.000 0.000

=====

# 11
Computed, not measured: a geometry-optimized Y7Zn2Cd2 structure at the PBE level of DFT.

Mass density = 5.039 Mg/m³
Total moment = 0.00 Bohr magnetons per cell
DFT formation energy = -0.016 eV/atom
VASP energy = -99.6 eV/cell

a b c (Å): 7.642 11.178 7.545
angles (deg): 90.00 90.00 90.00
Space group Cmmm (No. 65)
Inequivalent atoms, fractional coordinates:
1 Y 0.000 0.000 0.000
2 Y 0.000 0.500 0.245
3 Y 0.250 0.250 0.277
4 Zn 0.000 0.292 0.000
5 Cd 0.178 0.000 0.500

=====

# 12
Computed, not measured: a geometry-optimized SrYCl2 structure at the PBE level of DFT.

Energy above the most stable polymorph in this dataset = 0 meV per atom
Mass density = 3.682 Mg/m³
Total moment = 0.93 Bohr magnetons per cell
Uncorrected formation energy = -1481 meV/atom
VASP energy = -17.8 eV/cell

a b c (Å): 3.866 3.866 7.468
angles (deg): 90.00 90.00 90.00
Space group P4mm (No. 99)
Inequivalent atoms, fractional coordinates:
1 Sr 0.000 0.000 0.000
2 Y 0.500 0.500 0.601
3 Cl 0.000 0.000 0.481
4 Cl 0.500 0.500 0.202

=====

# 13
Computed, not measured: a geometry-optimized BaCu2Ag structure at the PBE level of DFT.

Mass density = 6.397 Mg/m³
Total moment = 0.00 Bohr magnetons per cell
DFT formation energy = -0.045 eV/atom
VASP energy = -39.4 eV/cell

a b c (Å): 4.4436 4.4436 16.9478
angles (deg): 90.00 90.00 120.00
Space group R3m (No. 160, hexagonal axes)
Inequivalent atoms, fractional coordinates:
1 Ba 0.0000 0.0000 0.0000
2 Cu 0.0000 0.0000 0.1947
3 Cu 0.0000 0.0000 0.5140
4 Ag 0.0000 0.0000 0.8064

=====

# 14
Computed, not measured: a geometry-optimized Sr2ThAu structure at the PBE level of DFT.

Mass density = 6.831 Mg/m³
Total moment = 0.00 Bohr magnetons per cell
DFT formation energy = 0.096 eV/atom
VASP energy = -41.0 eV/cell

a b c (Å): 3.7796 3.7796 35.6185
angles (deg): 90.00 90.00 120.00
Space group R-3m (No. 166, hexagonal axes)
Inequivalent atoms, fractional coordinates:
1 Sr 0.0000 0.0000 0.1041
2 Th 0.0000 0.0000 0.0000
3 Au 0.0000 0.0000 0.5000

=====

# 15
Computed, not measured: a geometry-optimized Sc3NbSe structure at the PBE level of DFT.

Energy above the most stable polymorph in this dataset = 472 meV per atom
Mass density = 3.859 Mg/m³
Total moment = 0.00 Bohr magnetons per cell
Uncorrected formation energy = 464 meV/atom
VASP energy = -30.2 eV/cell

a b c (Å): 5.091 5.091 5.091
angles (deg): 90.00 90.00 90.00
Space group Pm-3m (No. 221)
Inequivalent atoms, fractional coordinates:
1 Sc 0.000 0.000 0.500
2 Nb 0.000 0.000 0.000
3 Se 0.500 0.500 0.500

=====

# 16
Computed, not measured: a geometry-optimized Sc5Mo4 structure at the PBE level of DFT.

Energy above the most stable polymorph in this dataset = 65 meV per atom
Mass density = 5.824 Mg/m³
Total moment = 0.00 Bohr magnetons per cell
DFT formation energy = 0.243 eV/atom
VASP energy = -145.6 eV/cell

a b c (Å): 8.2669 8.2669 5.8636
angles (deg): 90.00 90.00 120.00
Space group P6_3/mcm (No. 193)
Inequivalent atoms, fractional coordinates:
1 Sc 0.0000 0.3618 0.2500
2 Sc 0.3333 0.6667 0.0000
3 Mo 0.0000 0.0000 0.0000
4 Mo 0.0000 0.2762 0.7500

=====

# 17
Computed, not measured: a geometry-optimized Rb2BeTeI structure at the PBE level of DFT.

Mass density = 3.362 Mg/m³
Total moment = 0.01 Bohr magnetons per cell
Uncorrected formation energy = -495 meV/atom
VASP energy = -12.8 eV/cell

a b c (Å): 6.758 6.758 4.700
angles (deg): 90.00 90.00 90.00
Space group P4/mmm (No. 123)
Inequivalent atoms, fractional coordinates:
1 Rb 0.000 0.500 0.000
2 Be 0.000 0.000 0.000
3 Te 0.000 0.000 0.500
4 I 0.500 0.500 0.500

=====

# 18
Computed, not measured: a geometry-optimized CsTl2In4Hg structure at the PBE level of DFT.

Mass density = 7.268 Mg/m³
Total moment = 0.00 Bohr magnetons per cell
DFT formation energy = -0.032 eV/atom
VASP energy = -51.3 eV/cell

a b c (Å): 5.3916 5.3916 32.7111
angles (deg): 90.00 90.00 120.00
Space group R-3m (No. 166, hexagonal axes)
Inequivalent atoms, fractional coordinates:
1 Cs 0.0000 0.0000 0.0000
2 Tl 0.0000 0.0000 0.2398
3 In 0.0000 0.0000 0.1370
4 In 0.0000 0.0000 0.4104
5 Hg 0.0000 0.0000 0.5000

=====

# 19
Computed, not measured: a geometry-optimized FeCoHW2 structure at the PBE level of DFT.

Energy above the most stable polymorph in this dataset = 0 meV per atom
Mass density = 14.562 Mg/m³
Total moment = 0.00 Bohr magnetons per cell
VASP energy = -44.1 eV/cell

a b c (Å): 3.890 3.890 3.644
angles (deg): 90.00 90.00 90.00
Space group P4/mmm (No. 123)
Inequivalent atoms, fractional coordinates:
1 Fe 0.000 0.000 0.000
2 Co 0.500 0.500 0.000
3 H 0.000 0.000 0.500
4 W 0.000 0.500 0.500

=====

# 20
Computed, not measured: a geometry-optimized BaBr2F8 structure at the PBE level of DFT.

Mass density = 3.721 Mg/m³
Total moment = 0.00 Bohr magnetons per cell
Uncorrected formation energy = -1785 meV/atom
VASP energy = -159.5 eV/cell

a b c (Å): 9.921 9.921 8.145
angles (deg): 90.00 90.00 90.00
Space group I-4 (No. 82)
Inequivalent atoms, fractional coordinates:
1 Ba 0.000 0.000 0.000
2 Ba 0.000 0.500 0.250
3 Br 0.160 0.774 0.634
4 F 0.010 0.174 0.727
5 F 0.065 0.232 0.258
6 F 0.083 0.618 0.534
7 F 0.161 0.764 0.046